No. 1
# KCd2Se PBE-GGA relaxed
data_KCd2Se
_chemical_formula_sum 'K2 Cd4 Se2'
_symmetry_space_group_name_H-M 'C 1 2/m 1'
_symmetry_Int_Tables_number 12
_cell_length_a 6.2394
_cell_length_b 12.7788
_cell_length_c 3.0907
_cell_angle_alpha 90.00
_cell_angle_beta 119.20
_cell_angle_gamma 90.00
loop_
_symmetry_equiv_pos_as_xyz
'x,y,z'
'-x,-y,-z'
'-x,y,-z'
'x,-y,z'
'x+1/2,y+1/2,z'
'-x+1/2,-y+1/2,-z'
'-x+1/2,y+1/2,-z'
'x+1/2,-y+1/2,z'
loop_
_atom_site_label
_atom_site_type_symbol
_atom_site_fract_x
_atom_site_fract_y
_atom_site_fract_z
K1 K 0.0000 0.0000 0.0000
Cd1 Cd 0.2500 0.2500 0.0000
Se1 Se 0.0000 0.5000 0.0000
# * uncorrected formation energy: -0.24 eV/atom
# * energy: -1.840 eV per atom
# * total magnetic moment: 0.00 μB per cell

No. 2
# Na3In4Pb2 PBE-GGA relaxed
data_Na3In4Pb2
_chemical_formula_sum 'Na3 In4 Pb2'
_symmetry_space_group_name_H-M 'P -1'
_symmetry_Int_Tables_number 2
_cell_length_a 5.3014
_cell_length_b 6.4626
_cell_length_c 8.4626
_cell_angle_alpha 76.13
_cell_angle_beta 89.69
_cell_angle_gamma 65.79
loop_
_symmetry_equiv_pos_as_xyz
'x,y,z'
'-x,-y,-z'
loop_
_atom_site_label
_atom_site_type_symbol
_atom_site_fract_x
_atom_site_fract_y
_atom_site_fract_z
Na1 Na 0.0000 0.0000 0.0000
Na2 Na 0.4543 0.0985 0.6765
In1 In 0.1136 0.7810 0.6459
In2 In 0.3199 0.3599 0.9757
Pb1 Pb 0.2305 0.5303 0.3216
# * offset from the most stable computed form: 16 meV/atom
# * energy: -2.572 eV per atom
# * ΔE_f: -91 meV/atom
# * total magnetic moment: 0.00 μB per cell

No. 3
# YCoAg2 PBE-GGA relaxed
data_YCoAg2
_chemical_formula_sum 'Y2 Co2 Ag4'
_symmetry_space_group_name_H-M 'I 4/m m m'
_symmetry_Int_Tables_number 139
_symmetry_space_group_name_Hall '-I 4 2'
_cell_length_a 3.9707
_cell_length_b 3.9707
_cell_length_c 9.2323
_cell_angle_alpha 90.00
_cell_angle_beta 90.00
_cell_angle_gamma 90.00
loop_
_atom_site_label
_atom_site_type_symbol
_atom_site_fract_x
_atom_site_fract_y
_atom_site_fract_z
Y1 Y 0.0000 0.0000 0.0000
Co1 Co 0.0000 0.0000 0.5000
Ag1 Ag 0.0000 0.5000 0.2500
# * energy: -4.816 eV per atom
# * ΔE_f: 3 meV/atom
# * total magnetic moment: 0.67 μB per cell